(1)
A geometry-optimized K2C structure, computed with PBEsol.

```
data_K2C
_cell_length_a 4.2110
_cell_length_b 4.2110
_cell_length_c 7.6455
_cell_angle_alpha 90.00
_cell_angle_beta 90.00
_cell_angle_gamma 120.00
_symmetry_space_group_name_H-M 'P -6 m 2'
_symmetry_Int_Tables_number 187
_symmetry_space_group_name_Hall 'P -6 2'
loop_
_atom_site_label
_atom_site_type_symbol
_atom_site_fract_x
_atom_site_fract_y
_atom_site_fract_z
K1 K 0.0000 0.0000 0.2103
C1 C 0.6667 0.3333 0.0000
```

Calculated values
- total DFT energy (no corrections) (eV/atom) = -2.428
- E_form (eV/f.u.) = 4.6
- relative energy among the computed polymorphs (meV per atom) = 76
- DOS at the Fermi energy (states/eV per cell) = 1.69

(2)
A geometry-optimized KLa2PtC structure, computed with PBEsol.

```
data_KLa2PtC
_cell_length_a 5.984
_cell_length_b 5.984
_cell_length_c 3.916
_cell_angle_alpha 90.00
_cell_angle_beta 90.00
_cell_angle_gamma 90.00
_symmetry_space_group_name_H-M 'P 4/m m m'
_symmetry_Int_Tables_number 123
_symmetry_space_group_name_Hall '-P 4 2'
loop_
_atom_site_label
_atom_site_type_symbol
_atom_site_fract_x
_atom_site_fract_y
_atom_site_fract_z
K1 K 0.000 0.000 0.000
La1 La 0.000 0.500 0.500
Pt1 Pt 0.500 0.500 0.500
C1 C 0.500 0.500 0.000
```

Calculated values
- total DFT energy (no corrections) (eV/atom) = -5.206
- E_form (eV/f.u.) = 2.4
- DOS at the Fermi energy (states/eV per cell) = 4.15

(3)
A geometry-optimized KLiMo2C structure, computed with PBEsol.

```
data_KLiMo2C
_cell_length_a 4.462
_cell_length_b 4.462
_cell_length_c 4.511
_cell_angle_alpha 90.00
_cell_angle_beta 90.00
_cell_angle_gamma 90.00
_symmetry_space_group_name_H-M 'P 4/m m m'
_symmetry_Int_Tables_number 123
_symmetry_space_group_name_Hall '-P 4 2'
loop_
_atom_site_label
_atom_site_type_symbol
_atom_site_fract_x
_atom_site_fract_y
_atom_site_fract_z
K1 K 0.000 0.000 0.000
Li1 Li 0.500 0.500 0.500
Mo1 Mo 0.000 0.500 0.000
C1 C 0.000 0.000 0.500
```

Calculated values
- total DFT energy (no corrections) (eV/atom) = -3.678
- E_form (eV/f.u.) = 17.9
- DOS at the Fermi energy (states/eV per cell) = 6.34

(4)
A geometry-optimized KLi2CS structure, computed with PBEsol.

```
data_KLi2CS
_cell_length_a 6.113
_cell_length_b 6.113
_cell_length_c 5.217
_cell_angle_alpha 90.00
_cell_angle_beta 90.00
_cell_angle_gamma 90.00
_symmetry_space_group_name_H-M 'P 4/m m m'
_symmetry_Int_Tables_number 123
_symmetry_space_group_name_Hall '-P 4 2'
loop_
_atom_site_label
_atom_site_type_symbol
_atom_site_fract_x
_atom_site_fract_y
_atom_site_fract_z
K1 K 0.000 0.000 0.000
Li1 Li 0.000 0.500 0.000
C1 C 0.500 0.500 0.500
S1 S 0.000 0.000 0.500
```

Calculated values
- total DFT energy (no corrections) (eV/atom) = -2.082
- DOS at the Fermi energy (states/eV per cell) = 3.43
- formation energy from raw total energies (eV per atom) = 1.737

(5)
A geometry-optimized KLiTcC2 structure, computed with PBEsol.

```
data_KLiTcC2
_cell_length_a 3.993
_cell_length_b 3.993
_cell_length_c 4.157
_cell_angle_alpha 90.00
_cell_angle_beta 90.00
_cell_angle_gamma 90.00
_symmetry_space_group_name_H-M 'P 4/m m m'
_symmetry_Int_Tables_number 123
_symmetry_space_group_name_Hall '-P 4 2'
loop_
_atom_site_label
_atom_site_type_symbol
_atom_site_fract_x
_atom_site_fract_y
_atom_site_fract_z
K1 K 0.000 0.000 0.000
Li1 Li 0.500 0.500 0.500
Tc1 Tc 0.500 0.500 0.000
C1 C 0.000 0.500 0.500
```

Calculated values
- total DFT energy (no corrections) (eV/atom) = -4.091
- E_form (eV/f.u.) = 13.2
- DOS at the Fermi energy (states/eV per cell) = 3.99

(6)
A geometry-optimized K2LuPCO7 structure, computed with PBEsol.

```
data_K2LuPCO7
_cell_length_a 5.674
_cell_length_b 6.942
_cell_length_c 9.882
_cell_angle_alpha 90.00
_cell_angle_beta 90.03
_cell_angle_gamma 90.00
_symmetry_space_group_name_H-M 'P 1 21/m 1'
_symmetry_Int_Tables_number 11
_symmetry_space_group_name_Hall '-P 2yb'
loop_
_atom_site_label
_atom_site_type_symbol
_atom_site_fract_x
_atom_site_fract_y
_atom_site_fract_z
K1 K 0.249 0.017 0.280
Lu1 Lu 0.290 0.250 0.872
P1 P 0.217 0.750 0.935
C1 C 0.236 0.250 0.605
O1 O 0.056 0.250 0.044
O2 O 0.060 0.250 0.693
O3 O 0.203 0.250 0.480
O4 O 0.289 0.566 0.857
O5 O 0.341 0.750 0.076
O6 O 0.445 0.250 0.662
```

Calculated values
- total DFT energy (no corrections) (eV/atom) = -7.364
- DOS at the Fermi energy (states/eV per cell) = 0.00
- formation energy from raw total energies (eV per atom) = -2.421

(7)
A geometry-optimized KMg3C structure, computed with PBEsol.

```
data_KMg3C
_cell_length_a 4.750
_cell_length_b 4.750
_cell_length_c 4.750
_cell_angle_alpha 90.00
_cell_angle_beta 90.00
_cell_angle_gamma 90.00
_symmetry_space_group_name_H-M 'P m -3 m'
_symmetry_Int_Tables_number 221
_symmetry_space_group_name_Hall '-P 4 2 3'
loop_
_atom_site_label
_atom_site_type_symbol
_atom_site_fract_x
_atom_site_fract_y
_atom_site_fract_z
K1 K 0.000 0.000 0.000
Mg1 Mg 0.000 0.500 0.500
C1 C 0.500 0.500 0.500
```

Calculated values
- total DFT energy (no corrections) (eV/atom) = -2.610
- E_form (eV/f.u.) = 2.9
- DOS at the Fermi energy (states/eV per cell) = 2.95

(8)
A geometry-optimized K3MgC structure, computed with PBEsol.

```
data_K3MgC
_cell_length_a 6.728
_cell_length_b 6.728
_cell_length_c 6.728
_cell_angle_alpha 90.00
_cell_angle_beta 90.00
_cell_angle_gamma 90.00
_symmetry_space_group_name_H-M 'P m -3 m'
_symmetry_Int_Tables_number 221
_symmetry_space_group_name_Hall '-P 4 2 3'
loop_
_atom_site_label
_atom_site_type_symbol
_atom_site_fract_x
_atom_site_fract_y
_atom_site_fract_z
K1 K 0.000 0.000 0.500
Mg1 Mg 0.000 0.000 0.000
C1 C 0.500 0.500 0.500
```

Calculated values
- total DFT energy (no corrections) (eV/atom) = -1.371
- E_form (eV/f.u.) = 7.9
- DOS at the Fermi energy (states/eV per cell) = 2.87